Record 1
# ZrBBr2

A relaxed ZrBBr2 crystal (GGA-PBEsol, Alexandria).

a = 8.491 Å, b = 8.491 Å, c = 8.491 Å
α = 23.15°, β = 23.15°, γ = 23.15°
Positions (direct):
1 Zr 0.000 0.000 0.000
2 B 0.500 0.500 0.500
3 Br 0.105 0.105 0.105
4 Br 0.895 0.895 0.895

Values from the calculation:
ΔE_f (raw) in meV per atom: 653



Record 2
# Zr3BBr

A relaxed Zr3BBr crystal (GGA-PBEsol, Alexandria).

a = 4.641 Å, b = 4.641 Å, c = 4.641 Å
α = 90.00°, β = 90.00°, γ = 90.00°
Positions (direct):
1 Zr 0.000 0.000 0.500
2 Zr 0.000 0.500 0.000
3 Zr 0.500 0.000 0.000
4 B 0.000 0.000 0.000
5 Br 0.500 0.500 0.500

Values from the calculation:
ΔE_f (raw) in meV per atom: 57



Record 3
# ZrBBr3

A relaxed ZrBBr3 crystal (GGA-PBEsol, Alexandria).

a = 4.630 Å, b = 4.630 Å, c = 4.630 Å
α = 90.00°, β = 90.00°, γ = 90.00°
Positions (direct):
1 Zr 0.000 0.000 0.000
2 B 0.500 0.500 0.500
3 Br 0.000 0.500 0.500
4 Br 0.500 0.000 0.500
5 Br 0.500 0.500 0.000

Values from the calculation:
ΔE_f (raw) in meV per atom: 519



Record 4
# CaB2C2

A relaxed CaB2C2 crystal (GGA-PBEsol, Alexandria).

a = 5.241 Å, b = 5.241 Å, c = 5.241 Å
α = 118.64°, β = 118.64°, γ = 92.38°
Positions (direct):
1 Ca 0.250 0.250 0.000
2 Ca 0.750 0.750 0.000
3 B 0.138 0.638 0.777
4 B 0.362 0.138 0.500
5 B 0.638 0.862 0.500
6 B 0.862 0.362 0.223
7 C 0.160 0.340 0.500
8 C 0.340 0.840 0.180
9 C 0.660 0.160 0.820
10 C 0.840 0.660 0.500

Values from the calculation:
Formation enthalpy at 0 K in eV/f.u.: -1.775



Record 5
# Ca9B2C4Cl8

A relaxed Ca9B2C4Cl8 crystal (GGA-PBEsol, Alexandria).

a = 8.786 Å, b = 8.786 Å, c = 12.018 Å
α = 90.00°, β = 90.00°, γ = 98.36°
Positions (direct):
1 Ca 0.029 0.331 0.550
2 Ca 0.029 0.331 0.950
3 Ca 0.121 0.879 0.750
4 Ca 0.193 0.435 0.250
5 Ca 0.331 0.029 0.050
6 Ca 0.331 0.029 0.450
7 Ca 0.343 0.657 0.591
8 Ca 0.343 0.657 0.909
9 Ca 0.435 0.193 0.750
10 Ca 0.565 0.807 0.250
11 Ca 0.657 0.343 0.091
12 Ca 0.657 0.343 0.409
13 Ca 0.669 0.971 0.550
14 Ca 0.669 0.971 0.950
15 Ca 0.807 0.565 0.750
16 Ca 0.879 0.121 0.250
17 Ca 0.971 0.669 0.050
18 Ca 0.971 0.669 0.450
19 B 0.087 0.580 0.750
20 B 0.420 0.913 0.750
21 B 0.580 0.087 0.250
22 B 0.913 0.420 0.250
23 C 0.064 0.597 0.631
24 C 0.064 0.597 0.869
25 C 0.403 0.936 0.631
26 C 0.403 0.936 0.869
27 C 0.597 0.064 0.131
28 C 0.597 0.064 0.369
29 C 0.936 0.403 0.131
30 C 0.936 0.403 0.369
31 Cl 0.000 0.000 0.000
32 Cl 0.000 0.000 0.500
33 Cl 0.125 0.199 0.750
34 Cl 0.199 0.125 0.250
35 Cl 0.276 0.724 0.121
36 Cl 0.276 0.724 0.379
37 Cl 0.341 0.341 0.000
38 Cl 0.341 0.341 0.500
39 Cl 0.489 0.511 0.750
40 Cl 0.511 0.489 0.250
41 Cl 0.659 0.659 0.000
42 Cl 0.659 0.659 0.500
43 Cl 0.724 0.276 0.621
44 Cl 0.724 0.276 0.879
45 Cl 0.801 0.875 0.750
46 Cl 0.875 0.801 0.250

Values from the calculation:
ΔE_f (raw) in meV per atom: -1380



Record 6
# CsCaB2C

A relaxed CsCaB2C crystal (GGA-PBEsol, Alexandria).

a = 3.929 Å, b = 3.929 Å, c = 4.886 Å
α = 90.00°, β = 90.00°, γ = 90.00°
Positions (direct):
1 Cs 0.000 0.000 0.000
2 Ca 0.500 0.500 0.000
3 B 0.000 0.500 0.500
4 B 0.500 0.000 0.500
5 C 0.500 0.500 0.500

Values from the calculation:
Formation enthalpy at 0 K in eV/f.u.: 8.820



Record 7
# CaHfBC2

A relaxed CaHfBC2 crystal (GGA-PBEsol, Alexandria).

a = 3.797 Å, b = 3.797 Å, c = 3.904 Å
α = 90.00°, β = 90.00°, γ = 90.00°
Positions (direct):
1 Ca 0.000 0.000 0.000
2 Hf 0.500 0.500 0.000
3 B 0.000 0.000 0.500
4 C 0.000 0.500 0.500
5 C 0.500 0.000 0.500

Values from the calculation:
Formation enthalpy at 0 K in eV/f.u.: 9.520



Record 8
# CdCuBC2

A relaxed CdCuBC2 crystal (GGA-PBEsol, Alexandria).

a = 4.078 Å, b = 4.078 Å, c = 4.848 Å
α = 90.00°, β = 90.00°, γ = 90.00°
Positions (direct):
1 Cd 0.000 0.000 0.000
2 Cu 0.000 0.000 0.500
3 B 0.500 0.500 0.500
4 C 0.000 0.500 0.000
5 C 0.500 0.000 0.000

Values from the calculation:
Formation enthalpy at 0 K in eV/f.u.: 16.933



Record 9
# CeB2C

A relaxed CeB2C crystal (GGA-PBEsol, Alexandria).

a = 5.301 Å, b = 5.301 Å, c = 5.301 Å
α = 76.60°, β = 76.60°, γ = 76.60°
Positions (direct):
1 Ce 0.000 0.000 0.000
2 Ce 0.313 0.313 0.313
3 Ce 0.687 0.687 0.687
4 B 0.226 0.500 0.774
5 B 0.226 0.774 0.500
6 B 0.500 0.226 0.774
7 B 0.500 0.774 0.226
8 B 0.774 0.226 0.500
9 B 0.774 0.500 0.226
10 C 0.000 0.000 0.500
11 C 0.000 0.500 0.000
12 C 0.500 0.000 0.000

Values from the calculation:
Formation enthalpy at 0 K in eV/f.u.: -2.156



Record 10
# CeBC

A relaxed CeBC crystal (GGA-PBEsol, Alexandria).

a = 8.196 Å, b = 8.206 Å, c = 11.924 Å
α = 90.00°, β = 90.00°, γ = 90.00°
Positions (direct):
1 Ce 0.053 0.099 0.137
2 Ce 0.058 0.701 0.636
3 Ce 0.157 0.991 0.411
4 Ce 0.158 0.592 0.904
5 Ce 0.244 0.291 0.664
6 Ce 0.256 0.709 0.164
7 Ce 0.342 0.408 0.404
8 Ce 0.343 0.009 0.911
9 Ce 0.442 0.299 0.136
10 Ce 0.447 0.901 0.637
11 Ce 0.553 0.401 0.863
12 Ce 0.558 0.799 0.364
13 Ce 0.657 0.509 0.589
14 Ce 0.658 0.908 0.096
15 Ce 0.744 0.209 0.336
16 Ce 0.756 0.791 0.836
17 Ce 0.842 0.092 0.596
18 Ce 0.843 0.491 0.089
19 Ce 0.942 0.201 0.864
20 Ce 0.947 0.599 0.363
21 B 0.027 0.895 0.958
22 B 0.060 0.295 0.319
23 B 0.107 0.987 0.735
24 B 0.126 0.404 0.213
25 B 0.193 0.300 0.989
26 B 0.307 0.700 0.489
27 B 0.374 0.596 0.713
28 B 0.393 0.013 0.235
29 B 0.440 0.705 0.819
30 B 0.473 0.105 0.458
31 B 0.527 0.605 0.042
32 B 0.560 0.205 0.681
33 B 0.607 0.513 0.265
34 B 0.626 0.096 0.787
35 B 0.693 0.200 0.011
36 B 0.807 0.800 0.511
37 B 0.874 0.904 0.287
38 B 0.893 0.487 0.765
39 B 0.940 0.795 0.181
40 B 0.973 0.395 0.542
41 C 0.028 0.298 0.442
42 C 0.059 0.884 0.834
43 C 0.144 0.994 0.614
44 C 0.152 0.404 0.090
45 C 0.250 0.305 0.871
46 C 0.250 0.695 0.371
47 C 0.348 0.596 0.590
48 C 0.356 0.006 0.114
49 C 0.441 0.116 0.334
50 C 0.472 0.702 0.942
51 C 0.528 0.202 0.558
52 C 0.559 0.616 0.166
53 C 0.644 0.506 0.386
54 C 0.652 0.096 0.910
55 C 0.750 0.195 0.129
56 C 0.750 0.805 0.629
57 C 0.848 0.904 0.410
58 C 0.856 0.494 0.886
59 C 0.941 0.384 0.666
60 C 0.972 0.798 0.058

Values from the calculation:
Formation enthalpy at 0 K in eV/f.u.: -1.172



Record 11
# CeNi2B2C

A relaxed CeNi2B2C crystal (GGA-PBEsol, Alexandria).

a = 5.652 Å, b = 5.652 Å, c = 5.652 Å
α = 143.04°, β = 143.04°, γ = 53.27°
Positions (direct):
1 Ce 0.000 0.000 0.000
2 Ni 0.250 0.750 0.500
3 Ni 0.750 0.250 0.500
4 B 0.352 0.352 0.000
5 B 0.648 0.648 0.000
6 C 0.500 0.500 0.000

Values from the calculation:
Formation enthalpy at 0 K in eV/f.u.: -3.052



Record 12
# CeB2Pd2C

A relaxed CeB2Pd2C crystal (GGA-PBEsol, Alexandria).

a = 5.953 Å, b = 5.953 Å, c = 5.953 Å
α = 143.06°, β = 143.06°, γ = 53.24°
Positions (direct):
1 Ce 0.000 0.000 0.000
2 B 0.361 0.361 0.000
3 B 0.639 0.639 0.000
4 Pd 0.250 0.750 0.500
5 Pd 0.750 0.250 0.500
6 C 0.500 0.500 0.000

Values from the calculation:
Formation enthalpy at 0 K in eV/f.u.: -3.114



Record 13
# SiBH6C2NCl2

A relaxed SiBH6C2NCl2 crystal (GGA-PBEsol, Alexandria).

a = 10.713 Å, b = 10.713 Å, c = 10.713 Å
α = 104.34°, β = 104.34°, γ = 104.34°
Positions (direct):
1 Si 0.024 0.203 0.773
2 Si 0.203 0.773 0.024
3 Si 0.273 0.703 0.524
4 Si 0.524 0.273 0.703
5 Si 0.703 0.524 0.273
6 Si 0.773 0.024 0.203
7 B 0.273 0.445 0.372
8 B 0.372 0.273 0.445
9 B 0.445 0.372 0.273
10 B 0.773 0.872 0.945
11 B 0.872 0.945 0.773
12 B 0.945 0.773 0.872
13 H 0.003 0.005 0.254
14 H 0.005 0.254 0.003
15 H 0.014 0.850 0.728
16 H 0.063 0.645 0.791
17 H 0.088 0.488 0.407
18 H 0.094 0.405 0.977
19 H 0.145 0.563 0.291
20 H 0.228 0.350 0.514
21 H 0.254 0.003 0.005
22 H 0.291 0.145 0.563
23 H 0.333 0.903 0.912
24 H 0.350 0.514 0.228
25 H 0.403 0.833 0.412
26 H 0.405 0.977 0.094
27 H 0.407 0.088 0.488
28 H 0.412 0.403 0.833
29 H 0.477 0.905 0.594
30 H 0.488 0.407 0.088
31 H 0.503 0.754 0.505
32 H 0.505 0.503 0.754
33 H 0.514 0.228 0.350
34 H 0.563 0.291 0.145
35 H 0.588 0.907 0.988
36 H 0.594 0.477 0.905
37 H 0.645 0.791 0.063
38 H 0.728 0.014 0.850
39 H 0.754 0.505 0.503
40 H 0.791 0.063 0.645
41 H 0.833 0.412 0.403
42 H 0.850 0.728 0.014
43 H 0.903 0.912 0.333
44 H 0.905 0.594 0.477
45 H 0.907 0.988 0.588
46 H 0.912 0.333 0.903
47 H 0.977 0.094 0.405
48 H 0.988 0.588 0.907
49 C 0.007 0.309 0.929
50 C 0.038 0.680 0.885
51 C 0.180 0.538 0.385
52 C 0.309 0.929 0.007
53 C 0.385 0.180 0.538
54 C 0.429 0.809 0.507
55 C 0.507 0.429 0.809
56 C 0.538 0.385 0.180
57 C 0.680 0.885 0.038
58 C 0.809 0.507 0.429
59 C 0.885 0.038 0.680
60 C 0.929 0.007 0.309
61 N 0.284 0.355 0.450
62 N 0.355 0.450 0.284
63 N 0.450 0.284 0.355
64 N 0.784 0.950 0.855
65 N 0.855 0.784 0.950
66 N 0.950 0.855 0.784
67 Cl 0.042 0.318 0.644
68 Cl 0.144 0.818 0.542
69 Cl 0.167 0.825 0.208
70 Cl 0.208 0.167 0.825
71 Cl 0.318 0.644 0.042
72 Cl 0.325 0.667 0.708
73 Cl 0.542 0.144 0.818
74 Cl 0.644 0.042 0.318
75 Cl 0.667 0.708 0.325
76 Cl 0.708 0.325 0.667
77 Cl 0.818 0.542 0.144
78 Cl 0.825 0.208 0.167

Values from the calculation:
Total DFT energy (no corrections) in eV per atom: -5.514



Record 14
# Sr3BCNCl2

A relaxed Sr3BCNCl2 crystal (GGA-PBEsol, Alexandria).

a = 14.486 Å, b = 4.032 Å, c = 11.586 Å
α = 90.00°, β = 90.00°, γ = 90.00°
Positions (direct):
1 Sr 0.111 0.250 0.133
2 Sr 0.142 0.750 0.438
3 Sr 0.176 0.750 0.802
4 Sr 0.324 0.250 0.302
5 Sr 0.358 0.250 0.938
6 Sr 0.389 0.750 0.633
7 Sr 0.611 0.250 0.367
8 Sr 0.642 0.750 0.062
9 Sr 0.676 0.750 0.698
10 Sr 0.824 0.250 0.198
11 Sr 0.858 0.250 0.562
12 Sr 0.889 0.750 0.867
13 B 0.245 0.750 0.109
14 B 0.255 0.250 0.609
15 B 0.745 0.750 0.391
16 B 0.755 0.250 0.891
17 C 0.214 0.750 0.228
18 C 0.286 0.250 0.728
19 C 0.714 0.750 0.272
20 C 0.786 0.250 0.772
21 N 0.242 0.250 0.492
22 N 0.258 0.750 0.992
23 N 0.742 0.250 0.008
24 N 0.758 0.750 0.508
25 Cl 0.003 0.750 0.641
26 Cl 0.044 0.250 0.892
27 Cl 0.456 0.750 0.392
28 Cl 0.497 0.250 0.141
29 Cl 0.503 0.750 0.859
30 Cl 0.544 0.250 0.608
31 Cl 0.956 0.750 0.108
32 Cl 0.997 0.250 0.359

Values from the calculation:
ΔE_f (raw) in meV per atom: -1349



Record 15
# Nd4Fe4Co12B3C

A relaxed Nd4Fe4Co12B3C crystal (GGA-PBEsol, Alexandria).

a = 5.053 Å, b = 5.053 Å, c = 13.349 Å
α = 90.00°, β = 90.00°, γ = 120.00°
Positions (direct):
1 Nd 0.000 0.000 0.000
2 Nd 0.000 0.000 0.249
3 Nd 0.000 0.000 0.500
4 Nd 0.000 0.000 0.751
5 Fe 0.333 0.667 0.247
6 Fe 0.333 0.667 0.753
7 Fe 0.667 0.333 0.250
8 Fe 0.667 0.333 0.750
9 Co 0.000 0.500 0.393
10 Co 0.000 0.500 0.607
11 Co 0.500 0.000 0.393
12 Co 0.500 0.000 0.607
13 Co 0.500 0.500 0.393
14 Co 0.500 0.500 0.607
15 Co 0.502 0.005 0.101
16 Co 0.502 0.005 0.899
17 Co 0.502 0.498 0.101
18 Co 0.502 0.498 0.899
19 Co 0.995 0.498 0.101
20 Co 0.995 0.498 0.899
21 B 0.333 0.667 0.000
22 B 0.333 0.667 0.500
23 B 0.667 0.333 0.500
24 C 0.667 0.333 0.000

Values from the calculation:
Formation enthalpy at 0 K in eV/f.u.: -5.546